ZrNpS | the Alexandria database | PBE | optimized geometry; uncorrected formation energy = -446.8 meV per atom; DOS(E_F) = 1.447 states/eV/atom; V = 24.3 Å³/atom; space-group type = No. 166; M_tot = 0.00 μB/cell
1.0
-2.906 -2.362 -0.637
0.163 -2.481 -2.872
3.945 -9.505 5.921
Np Zr S
2 2 2
Direct
0.847 0.847 0.460
0.153 0.153 0.540
0.580 0.580 0.260
0.420 0.420 0.740
0.716 0.716 0.851
0.284 0.284 0.149